# V2SiSb

V2SiSb after structural relaxation (GGA-PBE, Alexandria).

abc: 6.2932 6.2932 6.2932
angles: 90.00 90.00 90.00
With the nearest neighbours (Å) after each atom.
Fractional coordinates of all 16 atoms:
1 V 0.2500 0.2500 0.2500  4 Sb 2.73, 4 Si 2.73
2 V 0.2500 0.2500 0.7500  4 Sb 2.73, 4 Si 2.73
3 V 0.2500 0.7500 0.2500  4 Sb 2.73, 4 Si 2.73
4 V 0.2500 0.7500 0.7500  4 Sb 2.73, 4 Si 2.73
5 V 0.7500 0.2500 0.2500  4 Sb 2.73, 4 Si 2.73
6 V 0.7500 0.2500 0.7500  4 Sb 2.73, 4 Si 2.73
7 V 0.7500 0.7500 0.2500  4 Sb 2.73, 4 Si 2.73
8 V 0.7500 0.7500 0.7500  4 Sb 2.73, 4 Si 2.73
9 Si 0.0000 0.0000 0.0000  8 V 2.73
10 Si 0.0000 0.5000 0.5000  8 V 2.73
11 Si 0.5000 0.0000 0.5000  8 V 2.73
12 Si 0.5000 0.5000 0.0000  8 V 2.73
13 Sb 0.0000 0.0000 0.5000  8 V 2.73
14 Sb 0.0000 0.5000 0.0000  8 V 2.73
15 Sb 0.5000 0.0000 0.0000  8 V 2.73
16 Sb 0.5000 0.5000 0.5000  8 V 2.73

Output
ΔE_f (raw): 130 meV/atom
Fermi-level density of states: 0.99 states/eV/atom
energy relative to the lowest polymorph listed for this composition: 0.075 eV per atom

***

# RbTl2F

RbTl2F after structural relaxation (GGA-PBE, Alexandria).

abc: 8.0344 8.0344 8.0344
angles: 90.00 90.00 90.00
With the nearest neighbours (Å) after each atom.
Fractional coordinates of all 16 atoms:
1 Rb 0.0000 0.0000 0.0000  8 Tl 3.48
2 Rb 0.0000 0.5000 0.5000  8 Tl 3.48
3 Rb 0.5000 0.0000 0.5000  8 Tl 3.48
4 Rb 0.5000 0.5000 0.0000  8 Tl 3.48
5 Tl 0.2500 0.2500 0.2500  4 F 3.48, 4 Rb 3.48
6 Tl 0.2500 0.2500 0.7500  4 F 3.48, 4 Rb 3.48
7 Tl 0.2500 0.7500 0.2500  4 F 3.48, 4 Rb 3.48
8 Tl 0.2500 0.7500 0.7500  4 F 3.48, 4 Rb 3.48
9 Tl 0.7500 0.2500 0.2500  4 F 3.48, 4 Rb 3.48
10 Tl 0.7500 0.2500 0.7500  4 F 3.48, 4 Rb 3.48
11 Tl 0.7500 0.7500 0.2500  4 F 3.48, 4 Rb 3.48
12 Tl 0.7500 0.7500 0.7500  4 F 3.48, 4 Rb 3.48
13 F 0.0000 0.0000 0.5000  8 Tl 3.48
14 F 0.0000 0.5000 0.0000  8 Tl 3.48
15 F 0.5000 0.0000 0.0000  8 Tl 3.48
16 F 0.5000 0.5000 0.5000  8 Tl 3.48

Output
ΔE_f (raw): -426 meV/atom
Fermi-level density of states: 1.35 states/eV/atom
energy relative to the lowest polymorph listed for this composition: 0.349 eV per atom

***

# Tb2Th3Sc4

Tb2Th3Sc4 after structural relaxation (GGA-PBE, Alexandria).

abc: 5.6587 5.6587 10.8940
angles: 99.09 99.09 52.15
With the nearest neighbours (Å) after each atom.
Fractional coordinates of all 9 atoms:
1 Tb 0.1698 0.1698 0.0875  5 Sc 3.31-3.64, 2 Th 3.51, 3 Tb 3.64-3.68
2 Tb 0.8302 0.8302 0.9125  5 Sc 3.31-3.64, 2 Th 3.51, 3 Tb 3.64-3.68
3 Th 0.0000 0.0000 0.5000  8 Sc 3.11-3.34
4 Th 0.4338 0.4338 0.7233  7 Sc 3.21-3.56, 2 Tb 3.51
5 Th 0.5662 0.5662 0.2767  7 Sc 3.21-3.56, 2 Tb 3.51
6 Sc 0.1344 0.1344 0.7792  4 Th 3.11-3.21, 3 Tb 3.31-3.35, 2 Sc 3.35
7 Sc 0.2890 0.2890 0.4012  7 Th 3.30-3.56, 4 Sc 3.35-3.47, 1 Tb 3.42
8 Sc 0.7110 0.7110 0.5988  7 Th 3.30-3.56, 4 Sc 3.35-3.47, 1 Tb 3.42
9 Sc 0.8656 0.8656 0.2208  4 Th 3.11-3.21, 3 Tb 3.31-3.35, 2 Sc 3.35

Output
Fermi-level density of states: 1.37 states/eV/atom
energy of formation from the pure elements: 0.193 eV per atom
energy relative to the lowest polymorph listed for this composition: 0.091 eV per atom

***

# LaPm5In4

LaPm5In4 after structural relaxation (GGA-PBE, Alexandria).

abc: 3.6241 3.6241 22.6810
angles: 90.00 90.00 90.00
With the nearest neighbours (Å) after each atom.
Fractional coordinates of all 10 atoms:
1 La 0.0000 0.0000 0.0000  4 La 3.62, 8 Pm 3.72
2 Pm 0.5000 0.5000 0.1187  4 In 3.33, 4 Pm 3.62, 4 La 3.72
3 Pm 0.5000 0.5000 0.3089  8 In 3.35-3.37, 4 Pm 3.62
4 Pm 0.5000 0.5000 0.5000  8 In 3.36, 4 Pm 3.62
5 Pm 0.5000 0.5000 0.6911  8 In 3.35-3.37, 4 Pm 3.62
6 Pm 0.5000 0.5000 0.8813  4 In 3.33, 4 Pm 3.62, 4 La 3.72
7 In 0.0000 0.0000 0.2123  8 Pm 3.33-3.37, 4 In 3.62
8 In 0.0000 0.0000 0.4042  8 Pm 3.35-3.36, 4 In 3.62
9 In 0.0000 0.0000 0.5958  8 Pm 3.35-3.36, 4 In 3.62
10 In 0.0000 0.0000 0.7877  8 Pm 3.33-3.37, 4 In 3.62

Output
Fermi-level density of states: 0.75 states/eV/atom
energy of formation from the pure elements: -0.391 eV per atom

***

# NaGe3S

NaGe3S after structural relaxation (GGA-PBE, Alexandria).

abc: 5.0475 5.0475 5.0475
angles: 90.00 90.00 90.00
With the nearest neighbours (Å) after each atom.
Fractional coordinates of all 5 atoms:
1 Na 0.0000 0.0000 0.0000  6 Ge 2.52
2 Ge 0.0000 0.0000 0.5000  2 Na 2.52
3 Ge 0.0000 0.5000 0.0000  2 Na 2.52
4 Ge 0.5000 0.0000 0.0000  2 Na 2.52
5 S 0.5000 0.5000 0.5000  12 Ge 3.57

Output
ΔE_f (raw): 1143 meV/atom
Fermi-level density of states: 0.66 states/eV/atom
energy relative to the lowest polymorph listed for this composition: 0.780 eV per atom

***

# NaInP3

NaInP3 after structural relaxation (GGA-PBE, Alexandria).

abc: 4.9047 4.9047 4.9047
angles: 90.00 90.00 90.00
With the nearest neighbours (Å) after each atom.
Fractional coordinates of all 5 atoms:
1 Na 0.0000 0.0000 0.0000  6 P 2.45
2 In 0.5000 0.5000 0.5000  12 P 3.47
3 P 0.0000 0.0000 0.5000  2 Na 2.45
4 P 0.0000 0.5000 0.0000  2 Na 2.45
5 P 0.5000 0.0000 0.0000  2 Na 2.45

Output
Fermi-level density of states: 1.26 states/eV/atom
energy of formation from the pure elements: 1.224 eV per atom
energy relative to the lowest polymorph listed for this composition: 0.396 eV per atom

***

# ZnNi2Se

ZnNi2Se after structural relaxation (GGA-PBE, Alexandria).

abc: 5.9680 5.9680 5.9680
angles: 90.00 90.00 90.00
With the nearest neighbours (Å) after each atom.
Fractional coordinates of all 16 atoms:
1 Zn 0.0000 0.0000 0.0000  8 Ni 2.58
2 Zn 0.0000 0.5000 0.5000  8 Ni 2.58
3 Zn 0.5000 0.0000 0.5000  8 Ni 2.58
4 Zn 0.5000 0.5000 0.0000  8 Ni 2.58
5 Ni 0.2500 0.2500 0.2500  4 Se 2.58, 4 Zn 2.58
6 Ni 0.2500 0.2500 0.7500  4 Se 2.58, 4 Zn 2.58
7 Ni 0.2500 0.7500 0.2500  4 Se 2.58, 4 Zn 2.58
8 Ni 0.2500 0.7500 0.7500  4 Se 2.58, 4 Zn 2.58
9 Ni 0.7500 0.2500 0.2500  4 Se 2.58, 4 Zn 2.58
10 Ni 0.7500 0.2500 0.7500  4 Se 2.58, 4 Zn 2.58
11 Ni 0.7500 0.7500 0.2500  4 Se 2.58, 4 Zn 2.58
12 Ni 0.7500 0.7500 0.7500  4 Zn 2.58, 4 Se 2.58
13 Se 0.0000 0.0000 0.5000  8 Ni 2.58
14 Se 0.0000 0.5000 0.0000  8 Ni 2.58
15 Se 0.5000 0.0000 0.0000  8 Ni 2.58
16 Se 0.5000 0.5000 0.5000  8 Ni 2.58

Output
ΔE_f (raw): 58 meV/atom
Fermi-level density of states: 1.01 states/eV/atom
energy relative to the lowest polymorph listed for this composition: 0.125 eV per atom

***

# Nd7Dy5Y

Nd7Dy5Y after structural relaxation (GGA-PBE, Alexandria).

abc: 8.8596 8.8596 8.8596
angles: 135.30 99.77 96.86
With the nearest neighbours (Å) after each atom.
Fractional coordinates of all 13 atoms:
1 Nd 0.0000 0.0000 0.0000  3 Nd 3.37-3.64, 4 Dy 3.57, 1 Y 3.67
2 Nd 0.0818 0.7540 0.3278  5 Dy 3.51-3.53, 3 Nd 3.59-3.80, 1 Y 3.82
3 Nd 0.3099 0.3099 0.0000  7 Nd 3.64-3.96, 6 Dy 3.82-4.07
4 Nd 0.4262 0.7540 0.6722  5 Dy 3.51-3.53, 3 Nd 3.59-3.80, 1 Y 3.82
5 Nd 0.5774 0.2503 0.3271  5 Dy 3.47-3.55, 4 Nd 3.52-3.80
6 Nd 0.9232 0.2503 0.6729  5 Dy 3.47-3.55, 4 Nd 3.52-3.80
7 Nd 0.9986 0.4986 0.5000  6 Nd 3.37-3.59, 4 Dy 3.46
8 Dy 0.2739 0.2706 0.5367  2 Dy 3.14-3.18, 4 Nd 3.46-3.52
9 Dy 0.2739 0.7372 0.0033  2 Dy 3.14-3.18, 4 Nd 3.46-3.52
10 Dy 0.5037 0.0037 0.5000  4 Dy 3.18, 4 Nd 3.51-3.53
11 Dy 0.7339 0.2706 0.9967  2 Dy 3.14-3.18, 4 Nd 3.46-3.52
12 Dy 0.7339 0.7372 0.4633  2 Dy 3.14-3.18, 4 Nd 3.46-3.52
13 Y 0.6880 0.6880 0.0000  7 Nd 3.67-3.97, 6 Dy 3.75-4.00

Output
Fermi-level density of states: 1.72 states/eV/atom
energy of formation from the pure elements: 0.224 eV per atom

***

# Th6Si2BiSb3

Th6Si2BiSb3 after structural relaxation (GGA-PBE, Alexandria).

abc: 9.9565 9.9565 8.9507
angles: 103.28 103.28 25.59
With the nearest neighbours (Å) after each atom.
Fractional coordinates of all 12 atoms:
1 Th 0.0128 0.0128 0.2629  1 Si 2.94, 3 Sb 3.11-3.25, 2 Bi 3.19
2 Th 0.3267 0.3267 0.4294  3 Si 2.99-3.03, 3 Sb 3.27-3.29
3 Th 0.3269 0.3269 0.8885  2 Si 3.00, 3 Sb 3.17-3.28, 1 Bi 3.27
4 Th 0.6731 0.6731 0.1115  2 Si 3.00, 3 Sb 3.17-3.28, 1 Bi 3.27
5 Th 0.6733 0.6733 0.5706  3 Si 2.99-3.03, 3 Sb 3.27-3.29
6 Th 0.9872 0.9872 0.7371  1 Si 2.94, 3 Sb 3.11-3.25, 2 Bi 3.19
7 Si 0.1687 0.1687 0.3358  6 Th 2.94-3.03
8 Si 0.8313 0.8313 0.6642  6 Th 2.94-3.03
9 Bi 0.5000 0.5000 0.0000  6 Th 3.19-3.27
10 Sb 0.1596 0.1596 0.8349  6 Th 3.17-3.29
11 Sb 0.5000 0.5000 0.5000  6 Th 3.11-3.27
12 Sb 0.8404 0.8404 0.1651  6 Th 3.17-3.29

Output
ΔE_f (raw): -796 meV/atom
Fermi-level density of states: 0.41 states/eV/atom

***

# LiNdInRh

LiNdInRh after structural relaxation (GGA-PBE, Alexandria).

abc: 6.8637 6.8637 6.8637
angles: 90.00 90.00 90.00
With the nearest neighbours (Å) after each atom.
Fractional coordinates of all 16 atoms:
1 Li 0.0000 0.0000 0.0000  4 In 2.97, 4 Nd 2.97
2 Li 0.0000 0.5000 0.5000  4 In 2.97, 4 Nd 2.97
3 Li 0.5000 0.0000 0.5000  4 In 2.97, 4 Nd 2.97
4 Li 0.5000 0.5000 0.0000  4 In 2.97, 4 Nd 2.97
5 Nd 0.2500 0.2500 0.7500  4 Li 2.97, 4 Rh 2.97
6 Nd 0.2500 0.7500 0.2500  4 Li 2.97, 4 Rh 2.97
7 Nd 0.7500 0.2500 0.2500  4 Li 2.97, 4 Rh 2.97
8 Nd 0.7500 0.7500 0.7500  4 Li 2.97, 4 Rh 2.97
9 In 0.2500 0.2500 0.2500  4 Rh 2.97, 4 Li 2.97
10 In 0.2500 0.7500 0.7500  4 Rh 2.97, 4 Li 2.97
11 In 0.7500 0.2500 0.7500  4 Rh 2.97, 4 Li 2.97
12 In 0.7500 0.7500 0.2500  4 Rh 2.97, 4 Li 2.97
13 Rh 0.0000 0.0000 0.5000  4 In 2.97, 4 Nd 2.97
14 Rh 0.0000 0.5000 0.0000  4 In 2.97, 4 Nd 2.97
15 Rh 0.5000 0.0000 0.0000  4 In 2.97, 4 Nd 2.97
16 Rh 0.5000 0.5000 0.5000  4 In 2.97, 4 Nd 2.97

Output
Fermi-level density of states: 1.07 states/eV/atom
energy of formation from the pure elements: -0.476 eV per atom

***

# P2AuBr

P2AuBr after structural relaxation (GGA-PBE, Alexandria).

abc: 5.0249 5.0249 2.9332
angles: 90.00 90.00 90.00
With the nearest neighbours (Å) after each atom.
Fractional coordinates of all 4 atoms:
1 P 0.0000 0.5000 0.0000  4 Br 2.91, 4 Au 2.91, 2 P 2.93
2 P 0.5000 0.0000 0.0000  4 Br 2.91, 4 Au 2.91, 2 P 2.93
3 Au 0.0000 0.0000 0.5000  8 P 2.91, 2 Au 2.93
4 Br 0.5000 0.5000 0.5000  8 P 2.91, 2 Br 2.93

Output
ΔE_f (raw): 877 meV/atom
Fermi-level density of states: 0.70 states/eV/atom
energy relative to the lowest polymorph listed for this composition: 0.766 eV per atom

***

# AcInGe2

AcInGe2 after structural relaxation (GGA-PBE, Alexandria).

abc: 3.8987 3.8987 6.8013
angles: 90.00 90.00 90.00
With the nearest neighbours (Å) after each atom.
Fractional coordinates of all 4 atoms:
1 Ac 0.0000 0.0000 0.0000  2 In 3.40, 8 Ge 3.45
2 In 0.0000 0.0000 0.5000  8 Ge 3.06, 2 Ac 3.40
3 Ge 0.5000 0.5000 0.3055  1 Ge 2.65
4 Ge 0.5000 0.5000 0.6945  1 Ge 2.65

Output
Fermi-level density of states: 0.59 states/eV/atom
energy of formation from the pure elements: -0.244 eV per atom
energy relative to the lowest polymorph listed for this composition: 0.155 eV per atom